1.
Nd4ZnCu2: optimized geometry, PBE-GGA. Values from VASP.

Calculated values
energy of formation from the pure elements = -0.54 eV/f.u.
V = 184.2 Å³/cell
total magnetic moment = 0.8 μB/f.u.

Structure (Quantum ESPRESSO input):
```
&SYSTEM
  ibrav = 0, nat = 7, ntyp = 3
/
ATOMIC_SPECIES
Nd 144.24 Nd.upf
Zn 65.41 Zn.upf
Cu 63.55 Cu.upf
ATOMIC_POSITIONS crystal
Nd 0.121 0.121 0.121
Nd 0.373 0.373 0.373
Nd 0.627 0.627 0.627
Nd 0.879 0.879 0.879
Zn 0.500 0.500 0.500
Cu 0.246 0.246 0.246
Cu 0.754 0.754 0.754
CELL_PARAMETERS angstrom
2.543 1.468 8.223
-2.543 1.468 8.223
0.000 -2.936 8.223
```

2.
MnCd2Pb: optimized geometry, PBE-GGA. Values from VASP.

Calculated values
energy of formation from the pure elements = 1.08 eV/f.u.
V = 89.6 Å³/cell
total magnetic moment = 3.9 μB/f.u.

Structure (Quantum ESPRESSO input):
```
&SYSTEM
  ibrav = 0, nat = 4, ntyp = 3
/
ATOMIC_SPECIES
Mn 54.94 Mn.upf
Cd 112.41 Cd.upf
Pb 207.20 Pb.upf
ATOMIC_POSITIONS crystal
Mn 0.000 0.000 0.000
Cd 0.250 0.750 0.500
Cd 0.750 0.250 0.500
Pb 0.500 0.500 0.000
CELL_PARAMETERS angstrom
-2.149 2.149 4.850
2.149 -2.149 4.850
2.149 2.149 -4.850
```

3.
SnHRh: optimized geometry, PBE-GGA. Values from VASP.

Calculated values
energy above the lowest structure with this stoichiometry = 20 meV/atom
V = 165.0 Å³/cell
total magnetic moment = 0.0 μB/f.u.

Structure (Quantum ESPRESSO input):
```
&SYSTEM
  ibrav = 0, nat = 12, ntyp = 3
/
ATOMIC_SPECIES
Sn 118.71 Sn.upf
H 1.01 H.upf
Rh 102.91 Rh.upf
ATOMIC_POSITIONS crystal
Sn 0.091 0.297 0.252
Sn 0.297 0.091 0.752
Sn 0.703 0.909 0.248
Sn 0.909 0.703 0.748
H 0.334 0.553 0.038
H 0.447 0.666 0.462
H 0.553 0.334 0.538
H 0.666 0.447 0.962
Rh 0.208 0.792 0.250
Rh 0.407 0.593 0.750
Rh 0.593 0.407 0.250
Rh 0.792 0.208 0.750
CELL_PARAMETERS angstrom
4.286 -3.783 0.000
4.286 3.783 0.000
-2.218 0.000 5.088
```

What did the third record say?
SnHRh: optimized geometry, PBE-GGA. Values from VASP.

Calculated values
energy above the lowest structure with this stoichiometry = 20 meV/atom
V = 165.0 Å³/cell
total magnetic moment = 0.0 μB/f.u.

Structure (Quantum ESPRESSO input):
```
&SYSTEM
  ibrav = 0, nat = 12, ntyp = 3
/
ATOMIC_SPECIES
Sn 118.71 Sn.upf
H 1.01 H.upf
Rh 102.91 Rh.upf
ATOMIC_POSITIONS crystal
Sn 0.091 0.297 0.252
Sn 0.297 0.091 0.752
Sn 0.703 0.909 0.248
Sn 0.909 0.703 0.748
H 0.334 0.553 0.038
H 0.447 0.666 0.462
H 0.553 0.334 0.538
H 0.666 0.447 0.962
Rh 0.208 0.792 0.250
Rh 0.407 0.593 0.750
Rh 0.593 0.407 0.250
Rh 0.792 0.208 0.750
CELL_PARAMETERS angstrom
4.286 -3.783 0.000
4.286 3.783 0.000
-2.218 0.000 5.088
```

Question: What is the formula in the third record?
Answer: SnHRh

Question: What is the formula in the first record?
Answer: Nd4ZnCu2